K2InMoI: optimized geometry, PBE.

Output
Formation energy from raw total energies, eV per atom: 0.501
Density, g/cm3: 2.9
DOS at the Fermi energy, states/eV/atom: 0.432

Unit cell a=6.659 b=6.659 c=5.300 alpha=90.00 beta=90.00 gamma=90.00
Space group P4/mmm (No. 123)
Inequivalent atoms, fractional coordinates:
K 0.000 0.500 0.000
In 0.000 0.000 0.500
Mo 0.000 0.000 0.000
I 0.500 0.500 0.500